(1)
# KHf3S5 (GGA-PBE, optimized geometry)
# Calculated volume   224.8 Å³ per cell
# Spin magnetization   0.0 μB/f.u.
# Final energy   -62.93 eV/cell
data_KHf3S5
_chemical_formula_sum 'K1 Hf3 S5'
_space_group_name_H-M_alt 'P 1'
_space_group_IT_number 1
_cell_length_a 6.022
_cell_length_b 6.022
_cell_length_c 7.157
_cell_angle_alpha 90.00
_cell_angle_beta 90.00
_cell_angle_gamma 120.00
loop_
_space_group_symop_operation_xyz
'x,y,z'
loop_
_atom_site_label
_atom_site_type_symbol
_atom_site_fract_x
_atom_site_fract_y
_atom_site_fract_z
K1 K 0.000 0.000 0.000
Hf1 Hf 0.000 0.500 0.500
Hf2 Hf 0.500 0.000 0.500
Hf3 Hf 0.500 0.500 0.500
S1 S 0.000 0.000 0.500
S2 S 0.333 0.667 0.242
S3 S 0.333 0.667 0.758
S4 S 0.667 0.333 0.242
S5 S 0.667 0.333 0.758

---

(2)
# CuHgGeIr (GGA-PBE, optimized geometry)
# Calculated volume   64.8 Å³ per cell
# Spin magnetization   0.0 μB/f.u.
# Final energy   -16.27 eV/cell
data_CuHgGeIr
_chemical_formula_sum 'Cu1 Hg1 Ge1 Ir1'
_space_group_name_H-M_alt 'P 1'
_space_group_IT_number 1
_cell_length_a 4.509
_cell_length_b 4.509
_cell_length_c 4.509
_cell_angle_alpha 60.00
_cell_angle_beta 60.00
_cell_angle_gamma 60.00
loop_
_space_group_symop_operation_xyz
'x,y,z'
loop_
_atom_site_label
_atom_site_type_symbol
_atom_site_fract_x
_atom_site_fract_y
_atom_site_fract_z
Cu1 Cu 0.000 0.000 0.000
Hg1 Hg 0.250 0.250 0.250
Ge1 Ge 0.750 0.750 0.750
Ir1 Ir 0.500 0.500 0.500

---

Number 1 is which compound?
KHf3S5

---

Look up the calculated volume of the second one.
64.8 Å³ per cell

---

Look up the final energy of the second one.
-16.27 eV/cell

---

Which of these has the lowest calculated volume?
CuHgGeIr